No. 1
Entry from Alexandria: an optimized crystal structure of Tb8Te4Se3N (PBE-GGA).

The space group is R-3m (No. 166, hexagonal axes) and the conventional cell measures 8.2561, 8.2561 and 20.9328 Å, with angles of 90.00, 90.00 and 120.00 degrees. Symmetry generates all atoms from Tb at (0.0000, 0.0000, 0.2398), Tb at (0.0385, 0.5193, 0.2334), Te at (0.0000, 0.0000, 0.0000), Te at (0.0000, 0.5000, 0.0000), Se at (0.0000, 0.5000, 0.5000) and N at (0.0000, 0.0000, 0.5000).

Its formation energy from raw total energies is -1505.2 meV/atom. The volume is 1236 Å³ per cell.

No. 2
Entry from Alexandria: an optimized crystal structure of KBeCdH6 (PBE-GGA).

The space group is P1 (No. 1) and the conventional cell measures 4.338, 4.570 and 5.778 Å, with angles of 76.68, 85.86 and 78.83 degrees. Symmetry generates all atoms from K at (0.000, 0.000, 0.000), Be at (0.166, 0.286, 0.450), Cd at (0.571, 0.728, 0.562), H at (0.032, 0.016, 0.488), H at (0.336, 0.342, 0.630), H at (0.349, 0.371, 0.215), H at (0.444, 0.181, 0.282), H at (0.625, 0.645, 0.883) and H at (0.896, 0.539, 0.358).

The value obtained for the raw total energy is -2.779 eV/atom. The volume is 109 Å³ per cell.